5
Lattice="-2.524 2.763 1.697 -3.779 -1.632 -2.963 -1.068 -2.739 2.871" Properties=species:S:1:pos:R:3 comment="LaCrB2Pt PBE-GGA optimized geometry" m_tot_mub_per_cell=0.95 dft_energy_ev_per_atom=-5.902 delta_e_f_ev_per_atom=0.887 dos_at_fermi_per_ev_cell=5.344 pbc="T T T"
Cr 0.000 0.000 0.000
B -0.534 -1.369 1.436
B -1.262 1.382 0.849
Pt -3.686 -0.804 0.803
La -1.890 -0.816 -1.481